Entry 1:
A crystal of KLaAu relaxed with PBEsol, computed with meta-GGA SCAN.

```
data_KLaAu
_cell_length_a 5.1859
_cell_length_b 5.1859
_cell_length_c 5.1859
_cell_angle_alpha 60.00
_cell_angle_beta 60.00
_cell_angle_gamma 60.00
_symmetry_space_group_name_H-M 'P 1'
_symmetry_Int_Tables_number 1
_symmetry_space_group_name_Hall 'P 1'
loop_
_atom_site_label
_atom_site_fract_x
_atom_site_fract_y
_atom_site_fract_z
K1 0.0000 0.0000 0.0000
La1 0.5000 0.5000 0.5000
Au1 0.2500 0.2500 0.2500
```

Summary:
* energy above the lowest structure with this stoichiometry: 16.8 kJ/mol of atoms
* symmetry: F-43m (216)
* energy of formation from the pure elements: -0.8 eV per formula unit

Entry 2:
A crystal of KLaAu relaxed with PBEsol, computed with meta-GGA SCAN.

```
data_KLaAu
_cell_length_a 7.8975
_cell_length_b 7.8975
_cell_length_c 7.8975
_cell_angle_alpha 152.11
_cell_angle_beta 152.11
_cell_angle_gamma 39.85
_symmetry_space_group_name_H-M 'P 1'
_symmetry_Int_Tables_number 1
_symmetry_space_group_name_Hall 'P 1'
loop_
_atom_site_label
_atom_site_fract_x
_atom_site_fract_y
_atom_site_fract_z
K1 0.0000 0.0000 0.0000
La1 0.7489 0.7489 0.0000
Au1 0.3395 0.3395 0.0000
```

Summary:
* energy above the lowest structure with this stoichiometry: 0.0 kJ/mol of atoms
* symmetry: I4mm (107)
* energy of formation from the pure elements: -1.3 eV per formula unit

Entry 3:
A crystal of KLiAu2 relaxed with PBEsol, computed with meta-GGA SCAN.

```
data_KLiAu2
_cell_length_a 6.3211
_cell_length_b 6.3211
_cell_length_c 6.3211
_cell_angle_alpha 42.28
_cell_angle_beta 42.28
_cell_angle_gamma 42.28
_symmetry_space_group_name_H-M 'P 1'
_symmetry_Int_Tables_number 1
_symmetry_space_group_name_Hall 'P 1'
loop_
_atom_site_label
_atom_site_fract_x
_atom_site_fract_y
_atom_site_fract_z
K1 0.0000 0.0000 0.0000
Li1 0.5000 0.5000 0.5000
Au1 0.1911 0.1911 0.1911
Au2 0.8089 0.8089 0.8089
```

Summary:
* energy above the lowest structure with this stoichiometry: 0.0 kJ/mol of atoms
* symmetry: R-3m (166)
* energy of formation from the pure elements: -1.9 eV per formula unit

Entry 4:
A crystal of KLi3Au relaxed with PBEsol, computed with meta-GGA SCAN.

```
data_KLi3Au
_cell_length_a 5.1009
_cell_length_b 5.1009
_cell_length_c 5.1009
_cell_angle_alpha 90.00
_cell_angle_beta 90.00
_cell_angle_gamma 90.00
_symmetry_space_group_name_H-M 'P 1'
_symmetry_Int_Tables_number 1
_symmetry_space_group_name_Hall 'P 1'
loop_
_atom_site_label
_atom_site_fract_x
_atom_site_fract_y
_atom_site_fract_z
K1 0.0000 0.0000 0.0000
Li1 0.0000 0.5000 0.5000
Li2 0.5000 0.0000 0.5000
Li3 0.5000 0.5000 0.0000
Au1 0.5000 0.5000 0.5000
```

Summary:
* symmetry: Pm-3m (221)
* energy of formation from the pure elements: -1.3 eV per formula unit

Entry 5:
A crystal of KLiAu2 relaxed with PBEsol, computed with meta-GGA SCAN.

```
data_KLiAu2
_cell_length_a 5.5038
_cell_length_b 5.5038
_cell_length_c 5.5038
_cell_angle_alpha 139.06
_cell_angle_beta 126.37
_cell_angle_gamma 69.61
_symmetry_space_group_name_H-M 'P 1'
_symmetry_Int_Tables_number 1
_symmetry_space_group_name_Hall 'P 1'
loop_
_atom_site_label
_atom_site_fract_x
_atom_site_fract_y
_atom_site_fract_z
K1 0.0000 0.0000 0.0000
Li1 0.2827 0.7827 0.5000
Au1 0.4852 0.4852 0.0000
Au2 0.7206 0.2206 0.5000
```

Summary:
* energy above the lowest structure with this stoichiometry: 20.4 kJ/mol of atoms
* symmetry: Imm2 (44)
* energy of formation from the pure elements: -1.1 eV per formula unit

Entry 6:
A crystal of KLi2Au2 relaxed with PBEsol, computed with meta-GGA SCAN.

```
data_KLi2Au2
_cell_length_a 8.1207
_cell_length_b 8.1207
_cell_length_c 2.8937
_cell_angle_alpha 90.00
_cell_angle_beta 90.00
_cell_angle_gamma 90.00
_symmetry_space_group_name_H-M 'P 1'
_symmetry_Int_Tables_number 1
_symmetry_space_group_name_Hall 'P 1'
loop_
_atom_site_label
_atom_site_fract_x
_atom_site_fract_y
_atom_site_fract_z
K1 0.0000 0.0000 0.0000
K2 0.5000 0.5000 0.0000
Li1 0.1220 0.3780 0.0000
Li2 0.3780 0.8780 0.0000
Li3 0.6220 0.1220 0.0000
Li4 0.8780 0.6220 0.0000
Au1 0.1636 0.6636 0.5000
Au2 0.3364 0.1636 0.5000
Au3 0.6636 0.8364 0.5000
Au4 0.8364 0.3364 0.5000
```

Summary:
* energy above the lowest structure with this stoichiometry: 0.2 kJ/mol of atoms
* symmetry: P4/mbm (127)
* energy of formation from the pure elements: -2.4 eV per formula unit

Entry 7:
A crystal of K2Li2Au relaxed with PBEsol, computed with meta-GGA SCAN.

```
data_K2Li2Au
_cell_length_a 7.1430
_cell_length_b 7.1430
_cell_length_c 5.7710
_cell_angle_alpha 90.00
_cell_angle_beta 90.00
_cell_angle_gamma 90.00
_symmetry_space_group_name_H-M 'P 1'
_symmetry_Int_Tables_number 1
_symmetry_space_group_name_Hall 'P 1'
loop_
_atom_site_label
_atom_site_fract_x
_atom_site_fract_y
_atom_site_fract_z
K1 0.1945 0.3055 0.0000
K2 0.3055 0.8055 0.0000
K3 0.6945 0.1945 0.0000
K4 0.8055 0.6945 0.0000
Li1 0.1592 0.6592 0.5000
Li2 0.3408 0.1592 0.5000
Li3 0.6592 0.8408 0.5000
Li4 0.8408 0.3408 0.5000
Au1 0.0000 0.0000 0.5000
Au2 0.5000 0.5000 0.5000
```

Summary:
* symmetry: P4/mbm (127)
* energy of formation from the pure elements: -0.7 eV per formula unit

Entry 8:
A crystal of K2LiAu relaxed with PBEsol, computed with meta-GGA SCAN.

```
data_K2LiAu
_cell_length_a 4.5474
_cell_length_b 4.5474
_cell_length_c 8.7278
_cell_angle_alpha 104.02
_cell_angle_beta 104.02
_cell_angle_gamma 59.86
_symmetry_space_group_name_H-M 'P 1'
_symmetry_Int_Tables_number 1
_symmetry_space_group_name_Hall 'P 1'
loop_
_atom_site_label
_atom_site_fract_x
_atom_site_fract_y
_atom_site_fract_z
K1 0.0000 0.0000 0.0000
K2 0.1689 0.1689 0.5428
Li1 0.4176 0.4176 0.2715
Au1 0.7507 0.7507 0.2719
```

Summary:
* symmetry: Cm (8)
* energy of formation from the pure elements: -1.1 eV per formula unit